Record 1
# Nb4SnAsC2, optimized geometry, DFT GGA-PBE
# **Crystal system**: hexagonal
# **M_tot**: 0.03 μB per formula unit
# **Total energy**: -71.68 eV per cell
data_Nb4SnAsC2
_symmetry_space_group_name_H-M 'P -6 m 2'
_symmetry_Int_Tables_number 187
_symmetry_space_group_name_Hall 'P -6 2'
_cell_length_a 3.2921
_cell_length_b 3.2921
_cell_length_c 13.0659
_cell_angle_alpha 90.00
_cell_angle_beta 90.00
_cell_angle_gamma 120.00
loop_
_atom_site_label
_atom_site_type_symbol
_atom_site_fract_x
_atom_site_fract_y
_atom_site_fract_z
Nb1 Nb 0.0000 0.0000 0.1442
Nb2 Nb 0.6667 0.3333 0.3211
Sn1 Sn 0.0000 0.0000 0.5000
As1 As 0.6667 0.3333 0.0000
C1 C 0.3333 0.6667 0.2352

Record 2
# GdDy2In3CuNi2, optimized geometry, DFT GGA-PBE
# **Crystal system**: orthorhombic
# **M_tot**: 0.01 μB per formula unit
# **Total energy**: -82.49 eV per cell
data_GdDy2In3CuNi2
_symmetry_space_group_name_H-M 'A m m 2'
_symmetry_Int_Tables_number 38
_symmetry_space_group_name_Hall 'A 2 -2'
_cell_length_a 3.831
_cell_length_b 12.898
_cell_length_c 7.451
_cell_angle_alpha 90.00
_cell_angle_beta 90.00
_cell_angle_gamma 90.00
loop_
_atom_site_label
_atom_site_type_symbol
_atom_site_fract_x
_atom_site_fract_y
_atom_site_fract_z
Gd1 Gd 0.000 0.000 0.000
Dy1 Dy 0.000 0.206 0.619
In1 In 0.500 0.000 0.670
In2 In 0.500 0.129 0.284
Cu1 Cu 0.000 0.000 0.413
Ni1 Ni 0.500 0.167 0.913

Record 3
# TcPt2W, optimized geometry, DFT GGA-PBE
# **Energy relative to the elements**: -21.14 kJ/mol of atoms
# **Crystal system**: orthorhombic
# **Energy above the lowest structure with this stoichiometry**: 0 meV per atom
# **M_tot**: 0.00 μB per formula unit
# **Total energy**: -36.31 eV per cell
data_TcPt2W
_symmetry_space_group_name_H-M 'P m m 2'
_symmetry_Int_Tables_number 25
_symmetry_space_group_name_Hall 'P 2 -2'
_cell_length_a 2.753
_cell_length_b 4.471
_cell_length_c 4.910
_cell_angle_alpha 90.00
_cell_angle_beta 90.00
_cell_angle_gamma 90.00
loop_
_atom_site_label
_atom_site_type_symbol
_atom_site_fract_x
_atom_site_fract_y
_atom_site_fract_z
Tc1 Tc 0.000 0.000 0.000
Pt1 Pt 0.500 0.000 0.497
Pt2 Pt 0.500 0.500 0.822
W1 W 0.000 0.500 0.316

Record 4
# LuNiAsPt, optimized geometry, DFT GGA-PBE
# **Crystal system**: cubic
# **Energy above the lowest structure with this stoichiometry**: 0 meV per atom
# **M_tot**: 0.00 μB per formula unit
# **Total energy**: -92.37 eV per cell
data_LuNiAsPt
_symmetry_space_group_name_H-M 'F -4 3 m'
_symmetry_Int_Tables_number 216
_symmetry_space_group_name_Hall 'F -4 2 3'
_cell_length_a 6.471
_cell_length_b 6.471
_cell_length_c 6.471
_cell_angle_alpha 90.00
_cell_angle_beta 90.00
_cell_angle_gamma 90.00
loop_
_atom_site_label
_atom_site_type_symbol
_atom_site_fract_x
_atom_site_fract_y
_atom_site_fract_z
Lu1 Lu 0.000 0.000 0.000
Ni1 Ni 0.250 0.250 0.750
As1 As 0.000 0.000 0.500
Pt1 Pt 0.250 0.250 0.250

Record 5
# Dy2B4Mo3, optimized geometry, DFT GGA-PBE
# **Crystal system**: monoclinic
# **M_tot**: 0.00 μB per formula unit
# **Total energy**: -143.45 eV per cell
data_Dy2B4Mo3
_symmetry_space_group_name_H-M 'P 1 21/c 1'
_symmetry_Int_Tables_number 14
_symmetry_space_group_name_Hall '-P 2ybc'
_cell_length_a 6.324
_cell_length_b 6.401
_cell_length_c 6.157
_cell_angle_alpha 90.00
_cell_angle_beta 106.61
_cell_angle_gamma 90.00
loop_
_atom_site_label
_atom_site_type_symbol
_atom_site_fract_x
_atom_site_fract_y
_atom_site_fract_z
Dy1 Dy 0.190 0.171 0.088
B1 B 0.081 0.533 0.901
B2 B 0.497 0.606 0.610
Mo1 Mo 0.261 0.679 0.250
Mo2 Mo 0.500 0.000 0.500

Record 6
# ErGa2Ni, optimized geometry, DFT GGA-PBE
# **Crystal system**: orthorhombic
# **M_tot**: 0.00 μB per formula unit
# **Total energy**: -75.28 eV per cell
data_ErGa2Ni
_symmetry_space_group_name_H-M 'C m c m'
_symmetry_Int_Tables_number 63
_symmetry_space_group_name_Hall '-C 2c 2'
_cell_length_a 4.093
_cell_length_b 10.020
_cell_length_c 6.668
_cell_angle_alpha 90.00
_cell_angle_beta 90.00
_cell_angle_gamma 90.00
loop_
_atom_site_label
_atom_site_type_symbol
_atom_site_fract_x
_atom_site_fract_y
_atom_site_fract_z
Er1 Er 0.000 0.070 0.250
Ga1 Ga 0.000 0.355 0.053
Ni1 Ni 0.000 0.212 0.750

Look up the total energy of the second one.
-82.49 eV per cell

total energy of number 1 (Nb4SnAsC2)?
-71.68 eV per cell

Please write out number 5 again, unchanged.
# Dy2B4Mo3, optimized geometry, DFT GGA-PBE
# **Crystal system**: monoclinic
# **M_tot**: 0.00 μB per formula unit
# **Total energy**: -143.45 eV per cell
data_Dy2B4Mo3
_symmetry_space_group_name_H-M 'P 1 21/c 1'
_symmetry_Int_Tables_number 14
_symmetry_space_group_name_Hall '-P 2ybc'
_cell_length_a 6.324
_cell_length_b 6.401
_cell_length_c 6.157
_cell_angle_alpha 90.00
_cell_angle_beta 106.61
_cell_angle_gamma 90.00
loop_
_atom_site_label
_atom_site_type_symbol
_atom_site_fract_x
_atom_site_fract_y
_atom_site_fract_z
Dy1 Dy 0.190 0.171 0.088
B1 B 0.081 0.533 0.901
B2 B 0.497 0.606 0.610
Mo1 Mo 0.261 0.679 0.250
Mo2 Mo 0.500 0.000 0.500

What is the M_tot in the sixth record?
0.00 μB per formula unit